## Ga2SnOsRh (PBE)

Data for Ga2SnOsRh after structural relaxation.

Cell: 4.696 4.696 4.853 Å, 90.00 90.00 90.00°
Element x y z (fractional)
Ga (0.000, 0.500, 0.000)
Ga (0.500, 0.000, 0.000)
Sn (0.000, 0.000, 0.500)
Os (0.500, 0.500, 0.500)
Rh (0.500, 0.500, 0.000)

Calculated values
Energy relative to the elements   0.64 eV per atom
E   -5.087 eV per atom
Space group   No. 123